# 1
NbS3F, optimized geometry, DFT PBE; VASP energy = -5.112 eV per atom; total moment = 1.0 μB per cell
1.0
4.739 0.000 0.000
0.000 4.739 0.000
0.000 0.000 4.739
Nb S F
1 3 1
Cartesian
0.000 0.000 0.000
2.370 0.000 0.000
0.000 0.000 2.370
0.000 2.370 0.000
2.370 2.370 2.370

=====

# 2
Nb2S2F, optimized geometry, DFT PBE; VASP energy = -6.919 eV per atom; total moment = 0.0 μB per cell
1.0
6.966 0.000 0.000
0.000 6.966 0.000
0.000 0.000 3.091
S F Nb
4 2 4
Cartesian
0.973 2.510 0.000
2.510 5.993 0.000
4.456 0.973 0.000
5.993 4.456 0.000
3.483 3.483 0.000
0.000 0.000 0.000
4.554 5.894 1.546
5.894 2.411 1.546
2.411 1.072 1.546
1.072 4.554 1.546